The following is a DFT calculation (PBE) of a geometry-optimized Na4Zr3ScS8 structure.

Computed properties:
Raw formation energy (eV per atom): -1.55
Volume (Å³/atom): 20.2
Total DFT energy (no corrections) (eV per atom): -5.938
Space-group type: R-3m, No. 166

Unit cell a=7.4135 b=8.0231 c=7.4139 alpha=117.54 beta=120.00 gamma=90.00
With the nearest neighbours (Å) after each atom.
Sites, in units of the cell vectors:
Na1 0.5000 0.0000 0.0000  6 S 2.85-2.86
Na2 0.5000 0.0000 0.5000  6 S 2.83-2.85
Na3 0.0000 0.0000 0.0000  6 S 2.83-2.85
Na4 0.0000 0.0000 0.5000  6 S 2.83-2.85
Zr1 0.5000 0.5000 0.0000  6 S 2.62-2.63
Zr2 0.5000 0.5000 0.5000  6 S 2.62-2.63
Zr3 0.0000 0.5000 0.5000  6 S 2.62-2.63
Sc1 0.0000 0.5000 0.0000  6 S 2.61
S1 0.2403 0.7228 0.9827  1 Sc 2.61, 2 Zr 2.62, 3 Na 2.84-2.86
S2 0.2403 0.7228 0.4806  1 Sc 2.61, 2 Zr 2.62, 3 Na 2.85
S3 0.2578 0.2737 0.5157  3 Zr 2.63, 3 Na 2.83
S4 0.7424 0.7228 0.9827  1 Sc 2.61, 2 Zr 2.62, 3 Na 2.84-2.86
S5 0.2576 0.2772 0.0173  1 Sc 2.61, 2 Zr 2.62, 3 Na 2.84-2.86
S6 0.7422 0.7263 0.4843  3 Zr 2.63, 3 Na 2.83
S7 0.7597 0.2772 0.5194  1 Sc 2.61, 2 Zr 2.62, 3 Na 2.85
S8 0.7597 0.2772 0.0173  1 Sc 2.61, 2 Zr 2.62, 3 Na 2.84-2.86

The following is a DFT calculation (PBE) of a geometry-optimized NaZrSc4S8 structure.

Computed properties:
Raw formation energy (eV per atom): -1.71
Volume (Å³/atom): 22.9
Total DFT energy (no corrections) (eV per atom): -6.587
Space-group type: R3m, No. 160

Unit cell a=7.6972 b=7.6972 c=7.6580 alpha=59.83 beta=59.83 gamma=60.00
With the nearest neighbours (Å) after each atom.
Sites, in units of the cell vectors:
Na1 0.3737 0.3737 0.8789  4 S 2.57-2.58
Zr1 0.0055 0.0055 0.9835  6 S 2.53-2.70
Sc1 0.6258 0.6258 0.1227  4 S 2.48-2.50
Sc2 0.0048 0.4867 0.5038  6 S 2.52-2.69
Sc3 0.4867 0.0048 0.5038  6 S 2.52-2.69
Sc4 0.0048 0.0048 0.5038  6 S 2.52-2.69
S1 0.2381 0.7851 0.7386  1 Zr 2.53, 2 Sc 2.54, 1 Na 2.58
S2 0.7851 0.2381 0.7386  1 Zr 2.53, 2 Sc 2.54, 1 Na 2.58
S3 0.2381 0.2381 0.7386  1 Zr 2.53, 2 Sc 2.54, 1 Na 2.58
S4 0.2366 0.2366 0.2903  3 Sc 2.52, 1 Na 2.57
S5 0.7575 0.2278 0.2572  3 Sc 2.50-2.69, 1 Zr 2.70
S6 0.2278 0.7575 0.2572  3 Sc 2.50-2.69, 1 Zr 2.70
S7 0.7575 0.7575 0.2572  3 Sc 2.50-2.69, 1 Zr 2.70
S8 0.7581 0.7581 0.7258  4 Sc 2.48-2.69

The following is a DFT calculation (PBE) of a geometry-optimized Na3Zr3ScS8 structure.

Computed properties:
Raw formation energy (eV per atom): -1.58
Volume (Å³/atom): 21.6
Total DFT energy (no corrections) (eV per atom): -6.176
Space-group type: R-3m, No. 166

Unit cell a=7.3846 b=7.3806 c=8.0659 alpha=117.20 beta=90.00 gamma=120.02
With the nearest neighbours (Å) after each atom.
Sites, in units of the cell vectors:
Na1 0.0000 0.0000 0.0000  6 S 2.84-2.88
Na2 0.0000 0.5000 0.0000  6 S 2.85-2.88
Na3 0.5000 0.5000 0.0000  6 S 2.85-2.88
Zr1 0.5000 0.0000 0.5000  6 S 2.60-2.63
Zr2 0.5000 0.5000 0.5000  6 S 2.60-2.63
Zr3 0.0000 0.5000 0.5000  6 S 2.60-2.63
Sc1 0.0000 0.0000 0.5000  6 S 2.60
S1 0.2583 0.5166 0.2756  3 Zr 2.63, 3 Na 2.84-2.85
S2 0.7417 0.4834 0.7244  3 Zr 2.63, 3 Na 2.84-2.85
S3 0.7606 0.5211 0.2825  2 Zr 2.60, 1 Sc 2.60, 2 Na 2.88
S4 0.2394 0.4789 0.7175  2 Zr 2.60, 1 Sc 2.60, 2 Na 2.88
S5 0.7607 0.0212 0.2823  1 Sc 2.60, 2 Zr 2.60, 2 Na 2.88
S6 0.2393 0.9788 0.7177  1 Sc 2.60, 2 Zr 2.60, 2 Na 2.88
S7 0.2605 0.0212 0.2823  1 Sc 2.60, 2 Zr 2.60, 2 Na 2.88
S8 0.7395 0.9788 0.7177  1 Sc 2.60, 2 Zr 2.60, 2 Na 2.88

The following is a DFT calculation (PBE) of a geometry-optimized Na4ZrSc3S8 structure.

Computed properties:
Raw formation energy (eV per atom): -1.67
Volume (Å³/atom): 20.3
Total DFT energy (no corrections) (eV per atom): -5.787
Space-group type: R-3m, No. 166

Unit cell a=7.5018 b=7.9547 c=7.5013 alpha=118.15 beta=120.00 gamma=90.00
With the nearest neighbours (Å) after each atom.
Sites, in units of the cell vectors:
Na1 0.5000 0.0000 0.0000  6 S 2.86
Na2 0.5000 0.0000 0.5000  6 S 2.86-2.87
Na3 0.0000 0.0000 0.0000  6 S 2.86-2.87
Na4 0.0000 0.0000 0.5000  6 S 2.86-2.87
Zr1 0.0000 0.5000 0.0000  6 S 2.61
Sc1 0.5000 0.5000 0.0000  6 S 2.60-2.61
Sc2 0.5000 0.5000 0.5000  6 S 2.60-2.61
Sc3 0.0000 0.5000 0.5000  6 S 2.60-2.61
S1 0.2399 0.7196 0.9799  1 Zr 2.61, 2 Sc 2.61, 3 Na 2.86
S2 0.2399 0.7197 0.4797  1 Zr 2.61, 2 Sc 2.61, 3 Na 2.86
S3 0.2609 0.2831 0.5219  3 Sc 2.60, 3 Na 2.87
S4 0.7400 0.7196 0.9799  1 Zr 2.61, 2 Sc 2.61, 3 Na 2.86
S5 0.2600 0.2804 0.0201  1 Zr 2.61, 2 Sc 2.61, 3 Na 2.86
S6 0.7391 0.7169 0.4781  3 Sc 2.60, 3 Na 2.87
S7 0.7601 0.2803 0.5203  1 Zr 2.61, 2 Sc 2.61, 3 Na 2.86
S8 0.7601 0.2804 0.0201  1 Zr 2.61, 2 Sc 2.61, 3 Na 2.86

The following is a DFT calculation (PBE) of a geometry-optimized Na3ZrSc3S8 structure.

Computed properties:
Raw formation energy (eV per atom): -1.71
Volume (Å³/atom): 21.8
Total DFT energy (no corrections) (eV per atom): -6.007
Space-group type: R-3m, No. 166

Unit cell a=7.4867 b=7.4861 c=7.9951 alpha=117.92 beta=90.00 gamma=120.00
With the nearest neighbours (Å) after each atom.
Sites, in units of the cell vectors:
Na1 0.0000 0.0000 0.0000  6 S 2.89
Na2 0.0000 0.5000 0.0000  6 S 2.89
Na3 0.5000 0.5000 0.0000  6 S 2.89
Zr1 0.0000 0.0000 0.5000  6 S 2.59
Sc1 0.5000 0.0000 0.5000  6 S 2.60
Sc2 0.5000 0.5000 0.5000  6 S 2.60
Sc3 0.0000 0.5000 0.5000  6 S 2.60
S1 0.2617 0.5234 0.2852  3 Sc 2.60, 3 Na 2.89
S2 0.7383 0.4766 0.7148  3 Sc 2.60, 3 Na 2.89
S3 0.7625 0.5251 0.2863  1 Zr 2.59, 2 Sc 2.60, 2 Na 2.89
S4 0.2375 0.4749 0.7137  1 Zr 2.59, 2 Sc 2.60, 2 Na 2.89
S5 0.7625 0.0236 0.2863  1 Zr 2.59, 2 Sc 2.60, 2 Na 2.89
S6 0.2375 0.9764 0.7137  1 Zr 2.59, 2 Sc 2.60, 2 Na 2.89
S7 0.2610 0.0236 0.2863  1 Zr 2.59, 2 Sc 2.60, 2 Na 2.89
S8 0.7390 0.9764 0.7137  1 Zr 2.59, 2 Sc 2.60, 2 Na 2.89

The following is a DFT calculation (PBE) of a geometry-optimized Na2Se4S5 structure.

Computed properties:
Raw formation energy (eV per atom): -0.20
Volume (Å³/atom): 27.7
Total DFT energy (no corrections) (eV per atom): -3.580
Space-group type: P-1, No. 2

Unit cell a=8.7834 b=6.6830 c=5.4606 alpha=86.58 beta=107.31 gamma=88.09
With the nearest neighbours (Å) after each atom.
Sites, in units of the cell vectors:
Na1 0.6803 0.7602 0.4195  2 S 2.75-3.05
Na2 0.3197 0.2398 0.5805  2 S 2.75-3.05
Se1 0.4308 0.7138 0.7175  1 Se 2.33, 1 S 2.51
Se2 0.5692 0.2862 0.2825  1 Se 2.33, 1 S 2.51
Se3 0.8378 0.3224 0.5016  1 Se 2.33, 1 S 2.39
Se4 0.1622 0.6776 0.4984  1 Se 2.33, 1 S 2.39
S1 0.8612 0.8278 0.9767  1 S 1.96
S2 0.1388 0.1722 0.0233  1 S 1.96
S3 0.5000 0.0000 0.0000  2 Se 2.51, 2 Na 2.75
S4 0.9094 0.2318 0.9526  1 S 1.96
S5 0.0906 0.7682 0.0474  1 S 1.96

The following is a DFT calculation (PBE) of a geometry-optimized Na4SeS structure.

Computed properties:
Raw formation energy (eV per atom): -1.06
Volume (Å³/atom): 25.1
Total DFT energy (no corrections) (eV per atom): -3.212
Space-group type: P4/mmm, No. 123

Unit cell a=4.7316 b=4.7316 c=6.7286 alpha=90.00 beta=90.00 gamma=90.00
With the nearest neighbours (Å) after each atom.
Sites, in units of the cell vectors:
Na1 0.5000 0.0000 0.7580  2 S 2.87, 2 Se 2.93
Na2 0.0000 0.5000 0.2420  2 S 2.87, 2 Se 2.93
Na3 0.5000 0.0000 0.2420  2 S 2.87, 2 Se 2.93
Na4 0.0000 0.5000 0.7580  2 S 2.87, 2 Se 2.93
Se1 0.5000 0.5000 0.5000  8 Na 2.93
S1 0.0000 0.0000 0.0000  8 Na 2.87

The following is a DFT calculation (PBE) of a geometry-optimized NaSe3S structure.

Computed properties:
Raw formation energy (eV per atom): 0.08
Volume (Å³/atom): 24.4
Total DFT energy (no corrections) (eV per atom): -3.103
Space-group type: Pm-3m, No. 221

Unit cell a=4.9596 b=4.9596 c=4.9596 alpha=90.00 beta=90.00 gamma=90.00
With the nearest neighbours (Å) after each atom.
Sites, in units of the cell vectors:
Na1 0.5000 0.5000 0.5000  12 Se 3.51
S1 0.0000 0.0000 0.0000  6 Se 2.48
Se1 0.0000 0.5000 0.0000  2 S 2.48
Se2 0.0000 0.0000 0.5000  2 S 2.48
Se3 0.5000 0.0000 0.0000  2 S 2.48